# 1
{
  "formula": "LiCu5",
  "functional": "meta-GGA SCAN",
  "state": "PBEsol geometry",
  "cell": [[2.5059, 0.0000, 0.0000], [0.0000, 4.1417, 0.0000], [-1.2530, 0.0000, 6.5873]],
  "species": ["Cu", "Cu", "Cu", "Cu", "Cu", "Li"],
  "frac_coords": [[0.3321, 0.0000, 0.6642], [0.7796, 0.5000, 0.5592], [0.6682, 0.0000, 0.3364], [0.4428, 0.5000, 0.8857], [0.0003, 0.0000, 0.0006], [0.1103, 0.5000, 0.2206]],
  "de_polymorph_mev_per_atom": 3,
  "crystal_system": "orthorhombic",
  "total_energy_ev_per_atom": -13.070,
  "sg": "Amm2"
}

# 2
{
  "formula": "Li2Mg2Cu",
  "functional": "meta-GGA SCAN",
  "state": "PBEsol geometry",
  "cell": [[3.3907, 0.0000, 0.0000], [0.0000, 3.3907, 0.0000], [-1.6954, -1.6954, 7.7597]],
  "species": ["Li", "Li", "Mg", "Mg", "Cu"],
  "frac_coords": [[0.2500, 0.7500, 0.5000], [0.7500, 0.2500, 0.5000], [0.4072, 0.4072, 0.8144], [0.5928, 0.5928, 0.1856], [0.0000, 0.0000, 0.0000]],
  "crystal_system": "tetragonal",
  "total_energy_ev_per_atom": -5.836,
  "sg": "I4/mmm"
}

# 3
{
  "formula": "Li2MgCu",
  "functional": "meta-GGA SCAN",
  "state": "PBEsol geometry",
  "cell": [[3.4035, 0.0000, 0.0000], [0.0000, 4.1704, 0.0000], [0.0000, 0.0000, 4.4348]],
  "species": ["Cu", "Mg", "Li", "Li"],
  "frac_coords": [[0.0000, 0.5000, 0.5000], [0.5000, 0.0000, 0.5000], [0.5000, 0.5000, 0.0000], [0.0000, 0.0000, 0.0000]],
  "crystal_system": "orthorhombic",
  "total_energy_ev_per_atom": -6.249,
  "sg": "Pmmm"
}

# 4
{
  "formula": "Li3MgCu",
  "functional": "meta-GGA SCAN",
  "state": "PBEsol geometry",
  "cell": [[-3.3494, -3.0072, -0.9731], [2.0780, -1.0268, -3.9796], [2.3817, -3.3334, 2.1037]],
  "species": ["Mg", "Cu", "Li", "Li", "Li"],
  "frac_coords": [[0.5000, 0.5000, 0.5000], [0.0000, 0.0000, 0.0000], [0.0000, 0.0000, 0.5000], [0.0000, 0.5000, 0.0000], [0.5000, 0.0000, 0.0000]],
  "crystal_system": "cubic",
  "total_energy_ev_per_atom": -5.278,
  "sg": "Pm-3m"
}

# 5
{
  "formula": "Li2MgCu2",
  "functional": "meta-GGA SCAN",
  "state": "PBEsol geometry",
  "cell": [[-0.2584, 0.5492, -3.0368], [-3.9356, -5.5898, -0.6760], [-5.6013, 3.8029, 1.1644]],
  "species": ["Mg", "Mg", "Li", "Li", "Li", "Li", "Cu", "Cu", "Cu", "Cu"],
  "frac_coords": [[0.0000, 0.0000, 0.0000], [0.0000, 0.5000, 0.5000], [0.5000, 0.3321, 0.1679], [0.5000, 0.6679, 0.8321], [0.5000, 0.8321, 0.3321], [0.5000, 0.1679, 0.6679], [0.0000, 0.3750, 0.8750], [0.0000, 0.8750, 0.6250], [0.0000, 0.6250, 0.1250], [0.0000, 0.1250, 0.3750]],
  "crystal_system": "tetragonal",
  "total_energy_ev_per_atom": -8.003,
  "sg": "P4/mbm"
}

# 6
{
  "formula": "Li2MgCu",
  "functional": "meta-GGA SCAN",
  "state": "PBEsol geometry",
  "cell": [[-0.1873, -2.1908, -2.1906], [0.9114, -2.1353, 2.0598], [-6.1833, -1.0837, 1.6125]],
  "species": ["Mg", "Li", "Li", "Cu"],
  "frac_coords": [[0.5000, 0.5000, 0.5000], [0.0000, 0.0000, 0.2044], [0.0000, 0.0000, 0.7956], [0.5000, 0.5000, 0.0000]],
  "crystal_system": "tetragonal",
  "total_energy_ev_per_atom": -6.213,
  "sg": "P4/mmm"
}

# 7
{
  "formula": "LiMgCu",
  "functional": "meta-GGA SCAN",
  "state": "PBEsol geometry",
  "cell": [[-1.4423, -1.7212, 2.2240], [-0.9597, -2.0482, -2.2075], [5.0045, -0.5365, 0.5847]],
  "species": ["Cu", "Mg", "Li"],
  "frac_coords": [[0.9908, 0.9908, 0.9815], [0.6573, 0.6573, 0.3146], [0.3519, 0.3519, 0.7039]],
  "de_polymorph_mev_per_atom": 0,
  "crystal_system": "tetragonal",
  "total_energy_ev_per_atom": -7.569,
  "sg": "I4mm"
}

# 8
{
  "formula": "LiMgCu",
  "functional": "meta-GGA SCAN",
  "state": "PBEsol geometry",
  "cell": [[2.7662, 0.0000, 0.0000], [0.0000, 4.3408, 0.0000], [0.0000, -2.1704, 3.7592]],
  "species": ["Cu", "Li", "Mg"],
  "frac_coords": [[0.9332, 0.0000, 0.0000], [0.7230, 0.6667, 0.3333], [0.3438, 0.3333, 0.6667]],
  "de_polymorph_mev_per_atom": 21,
  "crystal_system": "trigonal",
  "total_energy_ev_per_atom": -7.549,
  "sg": "P3m1"
}